Y2SbF2 | PBE-GGA | optimized geometry

M_tot, μB per atom: 0.000
DFT total energy, eV per atom: -6.411
Symmetry: I4/mmm (139)
E_form (uncorrected), eV per atom: -2.252
Energy above the lowest structure with this stoichiometry, eV per atom: 0.0000

a b c (Å): 4.6822 4.6822 5.6693
angles (deg): 65.61 65.61 90.00
With the nearest neighbours (Å) after each atom.
Atoms (fractional coordinates):
Y  0.7500  0.2500  0.5000  4 F 2.45
Y  0.2500  0.7500  0.5000  4 F 2.45
Sb  0.0000  0.0000  0.0000  2 F 3.04, 8 Y 3.28
F  0.3301  0.3301  0.3398  4 Y 2.45
F  0.6699  0.6699  0.6602  4 Y 2.45

=====

Y2Sb2F | PBE-GGA | optimized geometry

M_tot, μB per atom: 0.000
DFT total energy, eV per atom: -6.106
Symmetry: P4/mbm (127)
E_form (uncorrected), eV per atom: -1.497

a b c (Å): 7.2432 7.2432 4.6567
angles (deg): 90.00 90.00 90.00
With the nearest neighbours (Å) after each atom.
Atoms (fractional coordinates):
Y  0.3231  0.8231  0.0000  2 F 2.67
F  0.0000  0.0000  0.0000  4 Y 2.67
Y  0.8231  0.6769  0.0000  2 F 2.67
Sb  0.6380  0.8620  0.5000  1 Sb 2.83, 2 Y 3.00
Y  0.6769  0.1769  0.0000  2 F 2.67
Sb  0.8620  0.3620  0.5000  1 Sb 2.83, 2 Y 3.00
Sb  0.1380  0.6380  0.5000  1 Sb 2.83, 2 Y 3.00
F  0.5000  0.5000  0.0000  4 Y 2.67
Sb  0.3620  0.1380  0.5000  1 Sb 2.83, 2 Y 3.00
Y  0.1769  0.3231  0.0000  2 F 2.67

=====

YSb2F | PBE-GGA | optimized geometry

M_tot, μB per atom: 0.000
DFT total energy, eV per atom: -5.206
Symmetry: I-42d (122)
E_form (uncorrected), eV per atom: -1.061
Energy above the lowest structure with this stoichiometry, eV per atom: 0.0000

a b c (Å): 4.2031 4.2031 11.5844
angles (deg): 79.55 79.55 90.00
With the nearest neighbours (Å) after each atom.
Atoms (fractional coordinates):
Y  0.0000  0.0000  0.0000  4 F 2.97, 4 Sb 3.16
F  0.2500  0.7500  0.5000  4 Y 2.97, 4 Sb 3.18
Sb  0.8750  0.8833  0.7500  4 Sb 2.92-3.02, 2 Y 3.16, 2 F 3.18
F  0.5000  0.5000  0.0000  4 Y 2.97, 4 Sb 3.18
Sb  0.6333  0.1250  0.2500  4 Sb 2.92-3.02, 2 Y 3.16, 2 F 3.18
Sb  0.1167  0.6250  0.2500  4 Sb 2.92-3.02, 2 Y 3.16, 2 F 3.18
Y  0.7500  0.2500  0.5000  4 F 2.97, 4 Sb 3.16
Sb  0.3750  0.3667  0.7500  4 Sb 2.92-3.02, 2 Y 3.16, 2 F 3.18

=====

YSb2F8 | PBE-GGA | optimized geometry

M_tot, μB per atom: 0.000
DFT total energy, eV per atom: -5.470
Symmetry: P-1 (2)
E_form (uncorrected), eV per atom: -2.771

a b c (Å): 4.9996 7.1872 7.1564
angles (deg): 132.27 95.99 83.59
With the nearest neighbours (Å) after each atom.
Atoms (fractional coordinates):
F  0.9376  0.2857  0.7197  1 Sb 1.97
F  0.0624  0.7143  0.2802  1 Sb 1.97
Sb  0.6674  0.7182  0.2805  4 F 1.97-2.21
F  0.2307  0.1801  0.3596  1 Sb 2.17, 1 Y 2.20
F  0.2803  0.1159  0.8829  1 Y 2.19, 1 Sb 2.21
F  0.7197  0.8841  0.1171  1 Y 2.19, 1 Sb 2.21
Sb  0.3326  0.2818  0.7195  4 F 1.97-2.21
F  0.7693  0.8199  0.6404  1 Sb 2.17, 1 Y 2.20
Y  0.0000  0.0000  0.0000  6 F 2.19-2.21
F  0.2329  0.6395  0.8174  1 Sb 2.17, 1 Y 2.21
F  0.7671  0.3605  0.1826  1 Sb 2.17, 1 Y 2.21

=====

- Number 2 is which compound?
  Y2Sb2F

=====

- Number 3 is which compound?
  YSb2F

=====

- What is the formula in the third record?
  YSb2F

=====

- M_tot of number 3 (YSb2F)?
  0.000 μB per atom